LiBeTc: relaxed, PBE-GGA.

The structure belongs to space group Imm2 (No. 44); the cell edges are 2.487, 2.998 and 9.647 Å and the angles 90.00°, 90.00° and 90.00°. The inequivalent atoms are Li at (0.000, 0.000, 0.000), Be at (0.000, 0.000, 0.347) and Tc at (0.000, 0.000, 0.700).

Its total moment is 0.00 μB per cell. For the density, the calculation gives 5261 kg/m³. As for the relative energy among the computed polymorphs: 0.0000 eV/atom.

=====

LiBeTcTe2: relaxed, PBE-GGA.

The structure belongs to space group P4/mmm (No. 123); the cell edges are 4.809, 4.809 and 4.268 Å and the angles 90.00°, 90.00° and 90.00°. The inequivalent atoms are Li at (0.000, 0.000, 0.000), Be at (0.500, 0.500, 0.500), Tc at (0.000, 0.000, 0.500) and Te at (0.000, 0.500, 0.000).

Its total moment is 0.00 μB per cell. For the density, the calculation gives 6211 kg/m³. The uncorrected formation energy is 1.151 eV/atom.

=====

LiBe2Te: relaxed, PBE-GGA.

The structure belongs to space group R-3m (No. 166, hexagonal axes); the cell edges are 3.7822, 3.7822 and 16.8721 Å and the angles 90.00°, 90.00° and 120.00°. The inequivalent atoms are Li at (0.0000, 0.0000, 0.0000), Be at (0.0000, 0.0000, 0.2527) and Te at (0.0000, 0.0000, 0.5000).

Its total moment is 0.00 μB per cell. For the density, the calculation gives 3636 kg/m³. The uncorrected formation energy is 0.523 eV/atom.

=====

LiBeTe: relaxed, PBE-GGA.

The structure belongs to space group P3m1 (No. 156); the cell edges are 3.9500, 3.9500 and 4.4955 Å and the angles 90.00°, 90.00° and 120.00°. The inequivalent atoms are Li at (0.0000, 0.0000, 0.0000), Be at (0.3333, 0.6667, 0.6462) and Te at (0.6667, 0.3333, 0.4701).

Its total moment is 0.28 μB per cell. For the density, the calculation gives 3924 kg/m³. As for the relative energy among the computed polymorphs: 0.0000 eV/atom. The uncorrected formation energy is -0.097 eV/atom.

=====

Li2BeTe: relaxed, PBE-GGA.

The structure belongs to space group P4mm (No. 99); the cell edges are 3.584, 3.584 and 5.532 Å and the angles 90.00°, 90.00° and 90.00°. The inequivalent atoms are Li at (0.000, 0.000, 0.000), Li at (0.500, 0.500, 0.258), Be at (0.500, 0.500, 0.753) and Te at (0.000, 0.000, 0.522).

Its total moment is 0.00 μB per cell. For the density, the calculation gives 3517 kg/m³. As for the relative energy among the computed polymorphs: 0.1457 eV/atom. The uncorrected formation energy is -0.060 eV/atom.

=====

LiBe2Te: relaxed, PBE-GGA.

The structure belongs to space group I-4m2 (No. 119); the cell edges are 3.773, 3.773 and 8.393 Å and the angles 90.00°, 90.00° and 90.00°. The inequivalent atoms are Li at (0.000, 0.000, 0.000), Be at (0.000, 0.000, 0.500), Be at (0.000, 0.500, 0.250) and Te at (0.000, 0.500, 0.750).

Its total moment is 0.00 μB per cell. For the density, the calculation gives 4241 kg/m³. The uncorrected formation energy is 0.376 eV/atom.

=====

Li2BeTe: relaxed, PBE-GGA.

The structure belongs to space group I4/mmm (No. 139); the cell edges are 3.848, 3.848 and 8.670 Å and the angles 90.00°, 90.00° and 90.00°. The inequivalent atoms are Li at (0.000, 0.500, 0.250), Be at (0.000, 0.000, 0.000) and Te at (0.000, 0.000, 0.500).

Its total moment is 0.00 μB per cell. For the density, the calculation gives 3894 kg/m³. As for the relative energy among the computed polymorphs: 0.0924 eV/atom. The uncorrected formation energy is -0.113 eV/atom.

=====

Li2BeTe: relaxed, PBE-GGA.

The structure belongs to space group R-3m (No. 166, hexagonal axes); the cell edges are 3.1714, 3.1714 and 26.5284 Å and the angles 90.00°, 90.00° and 120.00°. The inequivalent atoms are Li at (0.0000, 0.0000, 0.2447), Be at (0.0000, 0.0000, 0.5000) and Te at (0.0000, 0.0000, 0.0000).

Its total moment is 0.00 μB per cell. For the density, the calculation gives 3245 kg/m³. As for the relative energy among the computed polymorphs: 0.4308 eV/atom. The uncorrected formation energy is 0.225 eV/atom.

=====

LiBeTe: relaxed, PBE-GGA.

The structure belongs to space group Fmm2 (No. 42); the cell edges are 4.010, 8.193 and 9.914 Å and the angles 90.00°, 90.00° and 90.00°. The inequivalent atoms are Li at (0.000, 0.000, 0.000), Be at (0.000, 0.000, 0.329) and Te at (0.000, 0.000, 0.708).

Its total moment is 0.00 μB per cell. For the density, the calculation gives 2928 kg/m³. As for the relative energy among the computed polymorphs: 0.2199 eV/atom. The uncorrected formation energy is 0.123 eV/atom.

=====

LiBe2Te: relaxed, PBE-GGA.

The structure belongs to space group F-43m (No. 216); the cell edges are 6.301, 6.301 and 6.301 Å and the angles 90.00°, 90.00° and 90.00°. The inequivalent atoms are Li at (0.000, 0.000, 0.000), Be at (0.000, 0.000, 0.500), Be at (0.250, 0.250, 0.250) and Te at (0.250, 0.250, 0.750).

Its total moment is 0.40 μB per cell. For the density, the calculation gives 4051 kg/m³. The uncorrected formation energy is 0.557 eV/atom.

=====

LiBeTe: relaxed, PBE-GGA.

The structure belongs to space group F-43m (No. 216); the cell edges are 6.108, 6.108 and 6.108 Å and the angles 90.00°, 90.00° and 90.00°. The inequivalent atoms are Li at (0.000, 0.000, 0.000), Be at (0.250, 0.250, 0.750) and Te at (0.000, 0.000, 0.500).

Its total moment is 0.00 μB per cell. For the density, the calculation gives 4184 kg/m³. As for the relative energy among the computed polymorphs: 0.1349 eV/atom. The uncorrected formation energy is 0.038 eV/atom.

=====

Li2BeTe: relaxed, PBE-GGA.

The structure belongs to space group Fm-3m (No. 225); the cell edges are 6.614, 6.614 and 6.614 Å and the angles 90.00°, 90.00° and 90.00°. The inequivalent atoms are Li at (0.250, 0.250, 0.250), Be at (0.000, 0.000, 0.000) and Te at (0.000, 0.000, 0.500).

Its total moment is 0.00 μB per cell. For the density, the calculation gives 3455 kg/m³. As for the relative energy among the computed polymorphs: 0.1593 eV/atom. The uncorrected formation energy is -0.046 eV/atom.

=====

What is the formula in the ninth record? LiBeTe

=====

What is the density in the eleventh record? 4184 kg/m³